No. 1
VASP calculation (PBE-GGA) on a relaxed structure of GdTaFe2.

a b c (Å): 3.113 3.113 6.735
angles (deg): 90.00 90.00 90.00
Each line ends with the local moment (μB).
Fractional coordinates of all 4 atoms:
Ta  0.500  0.500  0.000  0.14
Gd  0.500  0.500  0.500  7.11
Fe  0.000  0.000  0.208  -0.40
Fe  0.000  0.000  0.792  -0.40

Computed properties:
The size of the total moment comes out at 6.67 μB per cell. As for the energy of formation from the pure elements: 0.010 eV per atom.

=====

No. 2
VASP calculation (PBE-GGA) on a relaxed structure of TbGdFe4.

a b c (Å): 5.158 5.158 5.158
angles (deg): 60.00 60.00 60.00
Each line ends with the local moment (μB).
Fractional coordinates of all 6 atoms:
Fe  0.125  0.625  0.625  -2.09
Fe  0.625  0.625  0.625  -2.09
Tb  0.250  0.250  0.250  0.55
Fe  0.625  0.625  0.125  -2.09
Fe  0.625  0.125  0.625  -2.09
Gd  0.000  0.000  0.000  7.39

Computed properties:
The size of the total moment comes out at 0.00 μB per cell. As for the energy of formation from the pure elements: -0.069 eV per atom.

=====

No. 3
VASP calculation (PBE-GGA) on a relaxed structure of TbGdZnFe.

a b c (Å): 4.942 4.942 4.942
angles (deg): 60.00 60.00 60.00
Each line ends with the local moment (μB).
Fractional coordinates of all 4 atoms:
Fe  0.750  0.750  0.750  -1.95
Gd  0.000  0.000  0.000  7.24
Tb  0.500  0.500  0.500  0.24
Zn  0.250  0.250  0.250  0.02

Computed properties:
The size of the total moment comes out at 5.80 μB per cell. As for the energy of formation from the pure elements: -0.069 eV per atom.

=====

No. 4
VASP calculation (PBE-GGA) on a relaxed structure of GdFeTc.

a b c (Å): 4.476 3.922 3.922
angles (deg): 120.00 90.00 90.00
Each line ends with the local moment (μB).
Fractional coordinates of all 3 atoms:
Tc  0.156  0.667  0.333  -0.07
Fe  0.180  0.000  0.000  -0.22
Gd  0.665  0.333  0.667  7.01

Computed properties:
The size of the total moment comes out at 6.84 μB per cell. As for the energy of formation from the pure elements: 0.081 eV per atom.

=====

The lowest size of the total moment belongs to which entry? TbGdFe4

=====

Which formula does entry 3 have? TbGdZnFe